Entry 1:
This record from Alexandria via LeMat-Bulk describes a relaxed structure of K2BaSrH. The functional is PBE.

Properties
calculated density = 2104 kg/m³
total DFT energy (no corrections) = -0.0660 hartree per atom

Geometry as POSCAR:
```
K2BaSrH
1.0
6.626 0.000 0.000
0.000 6.626 0.000
0.000 0.000 5.467
K Ba Sr H
2 1 1 1
Direct
0.000 0.500 0.000 K
0.500 0.000 0.000 K
0.000 0.000 0.500 Ba
0.500 0.500 0.500 Sr
0.000 0.000 0.000 H
```

=====

Entry 2:
This record from Alexandria via LeMat-Bulk describes a relaxed structure of InBPb3. The functional is PBE.

Properties
offset from the most stable computed form = 851 meV/atom
calculated density = 6403 kg/m³
total DFT energy (no corrections) = -0.0974 hartree per atom
formation energy from the elements = 7.3 eV/f.u.

Geometry as POSCAR:
```
InBPb3
1.0
5.787 0.000 0.000
0.000 5.787 0.000
0.000 0.000 5.787
In B Pb
1 1 3
Direct
0.000 0.000 0.000 In
0.500 0.500 0.500 B
0.000 0.000 0.500 Pb
0.000 0.500 0.000 Pb
0.500 0.000 0.000 Pb
```

=====

Entry 3:
This record from Alexandria via LeMat-Bulk describes a relaxed structure of PrDyCoAu. The functional is PBE.

Properties
calculated density = 10236 kg/m³
total DFT energy (no corrections) = -0.1942 hartree per atom
formation energy from the elements = -1.4 eV/f.u.

Geometry as POSCAR:
```
PrDyCoAu
1.0
7.133 0.000 0.000
0.000 7.133 0.000
0.000 0.000 7.133
Pr Dy Co Au
4 4 4 4
Direct
0.000 0.000 0.000 Pr
0.000 0.500 0.500 Pr
0.500 0.000 0.500 Pr
0.500 0.500 0.000 Pr
0.000 0.000 0.500 Dy
0.000 0.500 0.000 Dy
0.500 0.000 0.000 Dy
0.500 0.500 0.500 Dy
0.250 0.250 0.250 Co
0.250 0.750 0.750 Co
0.750 0.250 0.750 Co
0.750 0.750 0.250 Co
0.250 0.250 0.750 Au
0.250 0.750 0.250 Au
0.750 0.250 0.250 Au
0.750 0.750 0.750 Au
```

=====

Entry 4:
This record from Alexandria via LeMat-Bulk describes a relaxed structure of TiNbPtRh. The functional is PBE.

Properties
offset from the most stable computed form = 88 meV/atom
calculated density = 11585 kg/m³
total DFT energy (no corrections) = -0.3069 hartree per atom
formation energy from the elements = -2.1 eV/f.u.

Geometry as POSCAR:
```
TiNbPtRh
1.0
6.313 0.000 0.000
0.000 6.313 0.000
0.000 0.000 6.313
Ti Nb Pt Rh
4 4 4 4
Direct
0.000 0.000 0.000 Ti
0.000 0.500 0.500 Ti
0.500 0.000 0.500 Ti
0.500 0.500 0.000 Ti
0.250 0.250 0.750 Nb
0.250 0.750 0.250 Nb
0.750 0.250 0.250 Nb
0.750 0.750 0.750 Nb
0.250 0.250 0.250 Pt
0.250 0.750 0.750 Pt
0.750 0.250 0.750 Pt
0.750 0.750 0.250 Pt
0.000 0.000 0.500 Rh
0.000 0.500 0.000 Rh
0.500 0.000 0.000 Rh
0.500 0.500 0.500 Rh
```

=====

Entry 5:
This record from Alexandria via LeMat-Bulk describes a relaxed structure of TaTl2As. The functional is PBE.

Properties
offset from the most stable computed form = 94 meV/atom
calculated density = 10627 kg/m³
total DFT energy (no corrections) = -0.1881 hartree per atom
formation energy from the elements = 0.8 eV/f.u.

Geometry as POSCAR:
```
TaTl2As
1.0
3.301 0.000 0.000
0.000 3.958 0.000
0.000 0.000 15.899
Ta Tl As
2 4 2
Direct
0.000 0.000 0.000 Ta
0.500 0.500 0.500 Ta
0.000 0.500 0.322 Tl
0.000 0.500 0.678 Tl
0.500 0.000 0.178 Tl
0.500 0.000 0.822 Tl
0.000 0.000 0.500 As
0.500 0.500 0.000 As
```

=====

Entry 6:
This record from Alexandria via LeMat-Bulk describes a relaxed structure of MgNi2Sb. The functional is PBE.

Properties
calculated density = 7091 kg/m³
formation energy from raw total energies = 0.1 eV per formula unit
total DFT energy (no corrections) = -0.1576 hartree per atom

Geometry as POSCAR:
```
MgNi2Sb
1.0
6.272 0.000 0.000
0.000 6.272 0.000
0.000 0.000 6.272
Mg Ni Sb
4 8 4
Direct
0.000 0.000 0.000 Mg
0.000 0.500 0.500 Mg
0.500 0.000 0.500 Mg
0.500 0.500 0.000 Mg
0.000 0.000 0.500 Ni
0.000 0.500 0.000 Ni
0.250 0.250 0.750 Ni
0.250 0.750 0.250 Ni
0.500 0.000 0.000 Ni
0.500 0.500 0.500 Ni
0.750 0.250 0.250 Ni
0.750 0.750 0.750 Ni
0.250 0.250 0.250 Sb
0.250 0.750 0.750 Sb
0.750 0.250 0.750 Sb
0.750 0.750 0.250 Sb
```

=====

Entry 7:
This record from Alexandria via LeMat-Bulk describes a relaxed structure of La2Ni2Sn. The functional is PBE.

Properties
calculated density = 7184 kg/m³
total DFT energy (no corrections) = -0.1994 hartree per atom
formation energy from the elements = -1.7 eV/f.u.

Geometry as POSCAR:
```
La2Ni2Sn
1.0
3.623 0.000 0.000
0.000 3.623 0.000
0.000 0.000 18.097
La Ni Sn
4 4 2
Direct
0.000 0.000 0.129 La
0.000 0.000 0.871 La
0.500 0.500 0.371 La
0.500 0.500 0.629 La
0.000 0.500 0.250 Ni
0.000 0.500 0.750 Ni
0.500 0.000 0.250 Ni
0.500 0.000 0.750 Ni
0.000 0.000 0.500 Sn
0.500 0.500 0.000 Sn
```

=====

Entry 8:
This record from Alexandria via LeMat-Bulk describes a relaxed structure of KLiIN2. The functional is PBE.

Properties
offset from the most stable computed form = 374 meV/atom
calculated density = 1799 kg/m³
formation energy from raw total energies = 6.8 eV per formula unit
total DFT energy (no corrections) = -0.1062 hartree per atom

Geometry as POSCAR:
```
KLiIN2
1.0
5.123 0.000 0.000
0.000 5.123 0.000
0.000 0.000 7.067
K Li I N
1 1 1 2
Direct
0.000 0.000 0.000 K
0.500 0.500 0.500 Li
0.000 0.000 0.500 I
0.000 0.500 0.000 N
0.500 0.000 0.000 N
```

=====

Entry 9:
This record from Alexandria via LeMat-Bulk describes a relaxed structure of Pr3ErCu4. The functional is PBE.

Properties
calculated density = 7692 kg/m³
total DFT energy (no corrections) = -0.1679 hartree per atom
formation energy from the elements = -1.3 eV/f.u.

Geometry as POSCAR:
```
Pr3ErCu4
1.0
3.559 0.000 0.000
0.000 3.559 0.000
0.000 0.000 14.392
Pr Er Cu
3 1 4
Direct
0.000 0.000 0.000 Pr
0.000 0.000 0.256 Pr
0.000 0.000 0.744 Pr
0.000 0.000 0.500 Er
0.500 0.500 0.127 Cu
0.500 0.500 0.390 Cu
0.500 0.500 0.610 Cu
0.500 0.500 0.873 Cu
```

=====

Entry 10:
This record from Alexandria via LeMat-Bulk describes a relaxed structure of CrCdPt. The functional is PBE.

Properties
offset from the most stable computed form = 282 meV/atom
calculated density = 10126 kg/m³
total DFT energy (no corrections) = -0.1920 hartree per atom
formation energy from the elements = 0.9 eV/f.u.

Geometry as POSCAR:
```
CrCdPt
1.0
6.178 0.000 0.000
0.000 6.178 0.000
0.000 0.000 6.178
Cr Cd Pt
4 4 4
Direct
0.000 0.000 0.000 Cr
0.000 0.500 0.500 Cr
0.500 0.000 0.500 Cr
0.500 0.500 0.000 Cr
0.250 0.250 0.250 Cd
0.250 0.750 0.750 Cd
0.750 0.250 0.750 Cd
0.750 0.750 0.250 Cd
0.250 0.250 0.750 Pt
0.250 0.750 0.250 Pt
0.750 0.250 0.250 Pt
0.750 0.750 0.750 Pt
```

=====

Entry 11:
This record from Alexandria via LeMat-Bulk describes a relaxed structure of TiFe2Co. The functional is PBE.

Properties
calculated density = 7407 kg/m³
total DFT energy (no corrections) = -0.2996 hartree per atom
formation energy from the elements = -0.7 eV/f.u.

Geometry as POSCAR:
```
TiFe2Co
1.0
5.808 0.000 0.000
0.000 5.808 0.000
0.000 0.000 5.808
Ti Fe Co
4 8 4
Direct
0.000 0.000 0.000 Ti
0.000 0.500 0.500 Ti
0.500 0.000 0.500 Ti
0.500 0.500 0.000 Ti
0.250 0.250 0.250 Fe
0.250 0.250 0.750 Fe
0.250 0.750 0.250 Fe
0.250 0.750 0.750 Fe
0.750 0.250 0.250 Fe
0.750 0.250 0.750 Fe
0.750 0.750 0.250 Fe
0.750 0.750 0.750 Fe
0.000 0.000 0.500 Co
0.000 0.500 0.000 Co
0.500 0.000 0.000 Co
0.500 0.500 0.500 Co
```

=====

Entry 12:
This record from Alexandria via LeMat-Bulk describes a relaxed structure of SrCo2TcH. The functional is PBE.

Properties
calculated density = 6108 kg/m³
total DFT energy (no corrections) = -0.1931 hartree per atom

Geometry as POSCAR:
```
SrCo2TcH
1.0
4.507 0.000 0.000
0.000 4.507 0.000
0.000 0.000 4.075
Sr Co Tc H
1 2 1 1
Direct
0.000 0.000 0.000 Sr
0.000 0.500 0.500 Co
0.500 0.000 0.500 Co
0.500 0.500 0.500 Tc
0.500 0.500 0.000 H
```

=====

Entry 13:
This record from Alexandria via LeMat-Bulk describes a relaxed structure of SrNpGeO6. The functional is PBE.

Properties
calculated density = 6117 kg/m³
formation energy from raw total energies = -22.0 eV per formula unit
total DFT energy (no corrections) = -0.2898 hartree per atom

Geometry as POSCAR:
```
SrNpGeO6
1.0
5.325 0.000 0.000
-2.662 4.611 0.000
0.000 0.000 10.906
Sr Np Ge O
2 2 2 12
Direct
0.000 0.000 0.000 Sr
0.000 0.000 0.500 Sr
0.333 0.667 0.250 Np
0.667 0.333 0.750 Np
0.333 0.667 0.750 Ge
0.667 0.333 0.250 Ge
0.021 0.380 0.649 O
0.021 0.641 0.851 O
0.359 0.380 0.851 O
0.359 0.979 0.649 O
0.380 0.021 0.149 O
0.380 0.359 0.351 O
0.620 0.641 0.649 O
0.620 0.979 0.851 O
0.641 0.021 0.351 O
0.641 0.620 0.149 O
0.979 0.359 0.149 O
0.979 0.620 0.351 O
```

=====

Number 1: calculated volume 240.05 Å³ per cell. Number 2: calculated volume 193.77 Å³ per cell. Number 3: calculated volume 362.94 Å³ per cell. Number 4: calculated volume 251.56 Å³ per cell. Number 5: calculated volume 207.71 Å³ per cell. Number 6: calculated volume 246.76 Å³ per cell. Number 7: calculated volume 237.56 Å³ per cell. Number 8: calculated volume 185.49 Å³ per cell. Number 9: calculated volume 182.25 Å³ per cell. Number 10: calculated volume 235.81 Å³ per cell. Number 11: calculated volume 195.94 Å³ per cell. Number 12: calculated volume 82.78 Å³ per cell. Number 13: calculated volume 267.79 Å³ per cell.